1.
DFT (PBE) results for a relaxed structure of Tb2DyTm2In.

Summary:
ΔE_f	-0.2	eV per formula unit
crystal system	orthorhombic
energy	-4.291	eV per atom

Unit cell a=5.307 b=9.914 c=6.638 alpha=90.00 beta=90.00 gamma=90.00
Fractional coordinates of all 12 atoms:
Tb (0.500, 0.835, 0.243)
Tb (0.000, 0.665, 0.743)
Tb (0.000, 0.335, 0.257)
Tb (0.500, 0.165, 0.757)
Tm (0.000, 0.341, 0.742)
Tm (0.500, 0.841, 0.758)
Tm (0.500, 0.159, 0.242)
Tm (0.000, 0.659, 0.258)
Dy (0.500, 0.500, 0.000)
Dy (0.000, 0.000, 0.500)
In (0.000, 0.000, 0.000)
In (0.500, 0.500, 0.500)

2.
DFT (PBE) results for a relaxed structure of CaAs2Pd5.

Summary:
ΔE_f	-4.6	eV per formula unit
crystal system	orthorhombic
energy	-5.238	eV per atom

Unit cell a=4.052 b=6.393 c=6.393 alpha=69.67 beta=71.52 gamma=71.52
Fractional coordinates of all 8 atoms:
As (0.748, 0.752, 0.752)
As (0.252, 0.248, 0.248)
Pd (0.650, 0.544, 0.157)
Pd (0.000, 0.500, 0.500)
Pd (0.350, 0.843, 0.456)
Pd (0.650, 0.157, 0.544)
Pd (0.350, 0.456, 0.843)
Ca (0.000, 0.000, 0.000)